Entry 1:
Below is a relaxed UCdI5 crystal, with properties calculated at the PBE level.

## Properties
total magnetization: 3.00 μB/f.u.
space-group type: No. 15

a b c (Å): 8.3099 8.3099 11.8644
angles (deg): 109.09 110.24 92.25
Last column: nearest neighbours and their distance in Å.
Fractional coordinates of all 14 atoms:
U1 0.0000 0.0000 0.0000  6 I 3.11-3.12
U2 0.0000 0.5000 0.5000  6 I 3.11-3.12
Cd1 0.6210 0.8710 0.2500  4 I 2.83-2.89
Cd2 0.3790 0.1290 0.7500  4 I 2.83-2.89
I1 0.2462 0.8164 0.1626  1 Cd 2.89, 1 U 3.11
I2 0.2230 0.8302 0.5244  1 Cd 2.83, 1 U 3.12
I3 0.3463 0.4164 0.6626  1 Cd 2.89, 1 U 3.11
I4 0.0712 0.3212 0.2500  2 U 3.12
I5 0.3058 0.1986 0.9756  1 Cd 2.83, 1 U 3.12
I6 0.6942 0.8014 0.0244  1 Cd 2.83, 1 U 3.12
I7 0.9288 0.6788 0.7500  2 U 3.12
I8 0.6537 0.5836 0.3374  1 Cd 2.89, 1 U 3.11
I9 0.7770 0.1698 0.4756  1 Cd 2.83, 1 U 3.12
I10 0.7538 0.1836 0.8374  1 Cd 2.89, 1 U 3.11


Entry 2:
Below is a relaxed VCdI2 crystal, with properties calculated at the PBE level.

## Properties
excess energy over the best structure of this formula in the dataset: 0.000 eV per formula unit
total magnetization: 3.01 μB/f.u.
space-group type: No. 122

a b c (Å): 9.8315 9.8315 7.5382
angles (deg): 49.30 49.30 90.00
Last column: nearest neighbours and their distance in Å.
Fractional coordinates of all 8 atoms:
I1 0.4830 0.1250 0.2500  2 V 2.77
I2 0.2670 0.6250 0.2500  2 V 2.77
I3 0.3750 0.5170 0.7500  2 V 2.77
I4 0.8750 0.7330 0.7500  2 V 2.77
Cd1 0.0000 0.0000 0.0000  2 V 2.91
Cd2 0.7500 0.2500 0.5000  2 V 2.91
V1 0.5000 0.5000 0.0000  4 I 2.77, 2 Cd 2.91
V2 0.2500 0.7500 0.5000  4 I 2.77, 2 Cd 2.91


Entry 3:
Below is a relaxed VCd3I crystal, with properties calculated at the PBE level.

## Properties
excess energy over the best structure of this formula in the dataset: 0.000 eV per formula unit
total magnetization: 3.91 μB/f.u.
space-group type: No. 221

a b c (Å): 5.5349 5.5349 5.5349
angles (deg): 90.00 90.00 90.00
Last column: nearest neighbours and their distance in Å.
Fractional coordinates of all 5 atoms:
I1 0.5000 0.5000 0.5000  12 Cd 3.91
Cd1 0.0000 0.5000 0.0000  2 V 2.77
Cd2 0.0000 0.0000 0.5000  2 V 2.77
Cd3 0.5000 0.0000 0.0000  2 V 2.77
V1 0.0000 0.0000 0.0000  6 Cd 2.77


Number 1: formation energy (no corrections) -0.667 eV/atom, calculated volume 357.8 Å³/f.u., raw total energy -49.24 eV per cell. Number 2: formation energy (no corrections) -0.029 eV/atom, calculated volume 140.9 Å³/f.u., raw total energy -26.50 eV per cell. Number 3: formation energy (no corrections) 0.549 eV/atom, calculated volume 169.6 Å³/f.u., raw total energy -10.67 eV per cell.